Entry 1:
Below is a geometry-optimized Cs2ScSnSb structure, with properties calculated at the GGA-PBE level.

Cell: 7.3827 7.3827 5.7774 Å, 90.00 90.00 90.00°
Atoms (fractional coordinates):
Cs  0.0000  0.5000  0.0000
Cs  0.5000  0.0000  0.0000
Sc  0.0000  0.0000  0.5000
Sn  0.5000  0.5000  0.5000
Sb  0.5000  0.5000  0.0000

Output
Formation energy (no corrections): 586 meV per atom
Energy: -2.65 eV/atom
Space-group type: P4/mmm

=====

Entry 2:
Below is a geometry-optimized MgTl3Ag3Br8 structure, with properties calculated at the GGA-PBE level.

Cell: 8.4678 8.4678 9.0881 Å, 117.69 117.69 59.75°
Atoms (fractional coordinates):
Mg  0.0000  0.0000  0.0000
Tl  0.0000  0.0000  0.5000
Tl  0.0000  0.5000  0.5000
Tl  0.5000  0.0000  0.5000
Ag  0.0000  0.5000  0.0000
Ag  0.5000  0.0000  0.0000
Ag  0.5000  0.5000  0.0000
Br  0.2211  0.2211  0.1963
Br  0.2230  0.7542  0.1981
Br  0.2458  0.7770  0.8019
Br  0.2648  0.2648  0.7968
Br  0.7352  0.7352  0.2032
Br  0.7542  0.2230  0.1981
Br  0.7770  0.2458  0.8019
Br  0.7789  0.7789  0.8037

Output
Formation energy (no corrections): -749 meV per atom
Energy: -2.79 eV/atom
Space-group type: C2/m

=====

Entry 3:
Below is a geometry-optimized BeAg2W structure, with properties calculated at the GGA-PBE level.

Cell: 9.1084 9.1084 9.1084 Å, 17.75 17.75 17.75°
Atoms (fractional coordinates):
Be  0.0000  0.0000  0.0000
Ag  0.5011  0.5011  0.5011
Ag  0.7412  0.7412  0.7412
W  0.2593  0.2593  0.2593

Output
Energy: -5.19 eV/atom
Space-group type: R3m
Formation energy: 0.402 eV per atom

=====

N(E_F) / states/eV/cell: 8.639 0.000 3.780
Total moment / μB/f.u.: 1.9 0.0 0.0